[1]
# PBE Y2Zr, relaxed
data_Y2Zr
_chemical_formula_sum 'Y4 Zr2'
_space_group_name_H-M_alt 'P 1'
_space_group_IT_number 1
_cell_length_a 6.1732
_cell_length_b 6.1732
_cell_length_c 6.1732
_cell_angle_alpha 105.19
_cell_angle_beta 105.19
_cell_angle_gamma 118.41
loop_
_space_group_symop_operation_xyz
'x,y,z'
loop_
_atom_site_label
_atom_site_type_symbol
_atom_site_fract_x
_atom_site_fract_y
_atom_site_fract_z
Y1 Y 0.1615 0.6615 0.8230
Y2 Y 0.3385 0.1615 0.5000
Y3 Y 0.6615 0.8385 0.5000
Y4 Y 0.8385 0.3385 0.1770
Zr1 Zr 0.2500 0.2500 0.0000
Zr2 Zr 0.7500 0.7500 0.0000
# ΔH_f (0 K): 199.2 meV per atom
# Total DFT energy (no corrections): -41.76 eV for the cell shown
# D(E_F): 1.471 states/eV per atom
# Symmetry: I4/mcm (140)
# Theoretical density: 5.0 g/cm3

[2]
# PBE CdOs, relaxed
data_CdOs
_chemical_formula_sum 'Cd2 Os2'
_space_group_name_H-M_alt 'P 1'
_space_group_IT_number 1
_cell_length_a 4.0775
_cell_length_b 4.0775
_cell_length_c 5.6518
_cell_angle_alpha 90.00
_cell_angle_beta 90.00
_cell_angle_gamma 120.00
loop_
_space_group_symop_operation_xyz
'x,y,z'
loop_
_atom_site_label
_atom_site_type_symbol
_atom_site_fract_x
_atom_site_fract_y
_atom_site_fract_z
Cd1 Cd 0.0000 0.0000 0.0000
Cd2 Cd 0.0000 0.0000 0.5000
Os1 Os 0.3333 0.6667 0.2500
Os2 Os 0.6667 0.3333 0.7500
# ΔH_f (0 K): 1803.4 meV per atom
# Total DFT energy (no corrections): -17.08 eV for the cell shown
# D(E_F): 0.781 states/eV per atom
# Symmetry: P6_3/mmc (194)
# Theoretical density: 12.4 g/cm3

[3]
# PBE Zr3PaP4, relaxed
data_Zr3PaP4
_chemical_formula_sum 'Zr3 Pa1 P4'
_space_group_name_H-M_alt 'P 1'
_space_group_IT_number 1
_cell_length_a 6.5671
_cell_length_b 6.5671
_cell_length_c 3.8360
_cell_angle_alpha 90.00
_cell_angle_beta 90.00
_cell_angle_gamma 109.76
loop_
_space_group_symop_operation_xyz
'x,y,z'
loop_
_atom_site_label
_atom_site_type_symbol
_atom_site_fract_x
_atom_site_fract_y
_atom_site_fract_z
Zr1 Zr 0.0000 0.0000 0.0000
Zr2 Zr 0.0000 0.5000 0.5000
Zr3 Zr 0.5000 0.0000 0.5000
Pa1 Pa 0.5000 0.5000 0.0000
P1 P 0.2413 0.2413 0.5000
P2 P 0.2468 0.7532 0.0000
P3 P 0.7532 0.2468 0.0000
P4 P 0.7587 0.7587 0.5000
# ΔH_f (0 K): -1351.3 meV per atom
# Total DFT energy (no corrections): -67.59 eV for the cell shown
# D(E_F): 0.579 states/eV per atom
# Symmetry: Cmmm (65)
# Theoretical density: 6.7 g/cm3